Record 1
# HfFeReBi

An optimized crystal structure of HfFeReBi (PBE, OQMD via LeMat-Bulk).

Output
space group	F-43m
uncorrected energy	-32.26	eV per formula unit
size of the total moment	3.90	μB per formula unit

Cell lengths 4.6575, 4.6575, 4.6575 Å; angles 60.00, 60.00, 60.00 degrees
Fractional positions:
Bi: 0.0000 0.0000 0.0000
Fe: 0.7500 0.7500 0.7500
Hf: 0.2500 0.2500 0.2500
Re: 0.5000 0.5000 0.5000

Record 2
# Hf3Fe4Bi2Sb2

An optimized crystal structure of Hf3Fe4Bi2Sb2 (PBE, OQMD via LeMat-Bulk).

Output
space group	I-42m
uncorrected energy	-79.58	eV per formula unit
size of the total moment	7.19	μB per formula unit

Cell lengths 7.5980, 7.5980, 7.5980 Å; angles 132.21, 132.21, 69.89 degrees
Last column: magnetic moment on the atom in μB.
Fractional positions:
Bi: 0.5000 0.0000 0.5000  0.02
Bi: 0.0000 0.5000 0.5000  0.03
Fe: 0.8708 0.3822 0.0000  1.95
Fe: 0.3822 0.8708 0.0000  1.95
Fe: 0.6178 0.6178 0.4887  1.95
Fe: 0.1292 0.1292 0.5113  1.95
Hf: 0.0000 0.0000 0.0000  -0.24
Hf: 0.7500 0.2500 0.5000  -0.29
Hf: 0.2500 0.7500 0.5000  -0.29
Sb: 0.2476 0.2476 0.0000  0.01
Sb: 0.7524 0.7524 0.0000  0.01

Record 3
# HfFeBiW

An optimized crystal structure of HfFeBiW (PBE, OQMD via LeMat-Bulk).

Output
space group	F-43m
uncorrected energy	-33.08	eV per formula unit
size of the total moment	1.09	μB per formula unit

Cell lengths 4.6504, 4.6504, 4.6504 Å; angles 60.00, 60.00, 60.00 degrees
Fractional positions:
Bi: 0.0000 0.0000 0.0000
Fe: 0.7500 0.7500 0.7500
Hf: 0.5000 0.5000 0.5000
W: 0.2500 0.2500 0.2500

Record 4
# YHfFeBi

An optimized crystal structure of YHfFeBi (PBE, OQMD via LeMat-Bulk).

Output
space group	F-43m
uncorrected energy	-27.22	eV per formula unit
size of the total moment	1.15	μB per formula unit

Cell lengths 4.9352, 4.9352, 4.9352 Å; angles 60.00, 60.00, 60.00 degrees
Fractional positions:
Bi: 0.0000 0.0000 0.0000
Fe: 0.7500 0.7500 0.7500
Hf: 0.5000 0.5000 0.5000
Y: 0.2500 0.2500 0.2500

Record 5
# Hf3Zr3FeBi2

An optimized crystal structure of Hf3Zr3FeBi2 (PBE, OQMD via LeMat-Bulk).

Output
space group	P-62m
uncorrected energy	-74.00	eV per formula unit
size of the total moment	0.04	μB per formula unit

Cell lengths 7.9206, 7.9206, 3.6218 Å; angles 90.00, 90.00, 120.00 degrees
Fractional positions:
Bi: 0.6667 0.3333 0.5000
Bi: 0.3333 0.6667 0.5000
Fe: 0.0000 0.0000 0.0000
Hf: 0.6173 0.0000 0.0000
Hf: 0.3827 0.3827 0.0000
Hf: 0.0000 0.6173 0.0000
Zr: 0.2384 0.0000 0.5000
Zr: 0.0000 0.2384 0.5000
Zr: 0.7616 0.7616 0.5000

Record 6
# HfZrFeBi

An optimized crystal structure of HfZrFeBi (PBE, OQMD via LeMat-Bulk).

Output
space group	F-43m
uncorrected energy	-29.48	eV per formula unit
size of the total moment	2.89	μB per formula unit

Cell lengths 4.8333, 4.8333, 4.8333 Å; angles 60.00, 60.00, 60.00 degrees
Fractional positions:
Bi: 0.0000 0.0000 0.0000
Fe: 0.7500 0.7500 0.7500
Hf: 0.5000 0.5000 0.5000
Zr: 0.2500 0.2500 0.2500

> Which formula does entry 2 have?

Hf3Fe4Bi2Sb2